A plane-wave DFT calculation with PBE was carried out for TaFeBOs after structural relaxation.

Magnetization   0.01 μB per formula unit
Energy relative to the lowest polymorph listed for this composition   0 meV per atom
Raw total energy   -9.318 eV/atom

abc: 4.1438 4.1438 4.1438
angles: 60.00 60.00 60.00
Closest atoms and distances in Å follow each position.
Atoms (fractional coordinates):
B: 0.0000 0.0000 0.0000  4 Os 2.54, 4 Fe 2.54
Fe: 0.7500 0.7500 0.7500  4 Ta 2.54, 4 B 2.54
Os: 0.2500 0.2500 0.2500  4 B 2.54, 4 Ta 2.54
Ta: 0.5000 0.5000 0.5000  4 Os 2.54, 4 Fe 2.54